No. 1
A plane-wave DFT calculation with PBE was carried out for crystalline HfNpTa at its relaxed geometry.

a = 4.6030 Å, b = 4.6030 Å, c = 4.6030 Å
α = 60.00°, β = 60.00°, γ = 60.00°
With the nearest neighbours (Å) after each atom.
Fractional positions:
Np  0.2500  0.2500  0.2500  4 Hf 2.82
Ta  0.7500  0.7500  0.7500  4 Hf 2.82
Hf  0.0000  0.0000  0.0000  4 Ta 2.82, 4 Np 2.82

## Properties
**Volume**: 23.0 Å³ per atom
**Energy of formation**: 1.122 eV per atom



No. 2
A plane-wave DFT calculation with PBE was carried out for crystalline HfNpW at its relaxed geometry.

a = 4.5892 Å, b = 4.5892 Å, c = 4.5892 Å
α = 60.00°, β = 60.00°, γ = 60.00°
With the nearest neighbours (Å) after each atom.
Fractional positions:
Np  0.5000  0.5000  0.5000  4 W 2.81
Hf  0.0000  0.0000  0.0000  4 W 2.81
W  0.2500  0.2500  0.2500  4 Hf 2.81, 4 Np 2.81

## Properties
**Relative energy among the computed polymorphs**: 0.0 meV per atom
**Volume**: 22.8 Å³ per atom
**Energy of formation**: 0.692 eV per atom



No. 3
A plane-wave DFT calculation with PBE was carried out for crystalline HfNpZn at its relaxed geometry.

a = 4.6618 Å, b = 4.6618 Å, c = 4.6618 Å
α = 60.00°, β = 60.00°, γ = 60.00°
With the nearest neighbours (Å) after each atom.
Fractional positions:
Hf  0.2500  0.2500  0.2500  4 Zn 2.85
Np  0.7500  0.7500  0.7500  4 Zn 2.85
Zn  0.0000  0.0000  0.0000  4 Hf 2.85, 4 Np 2.85

## Properties
**Relative energy among the computed polymorphs**: 0.0 meV per atom
**Volume**: 23.9 Å³ per atom
**Energy of formation**: 0.667 eV per atom



No. 4
A plane-wave DFT calculation with PBE was carried out for crystalline HfO2 at its relaxed geometry.

a = 6.3082 Å, b = 6.3082 Å, c = 6.3082 Å
α = 60.00°, β = 60.00°, γ = 60.00°
With the nearest neighbours (Å) after each atom.
Fractional positions:
O  0.3750  0.8750  0.3750  2 Hf 1.93
O  0.3750  0.3750  0.8750  2 Hf 1.93
O  0.8750  0.3750  0.3750  2 Hf 1.93
O  0.3750  0.3750  0.3750  2 Hf 1.93
Hf  0.2500  0.2500  0.2500  4 O 1.93
Hf  0.5000  0.5000  0.5000  4 O 1.93

## Properties
**Volume**: 29.6 Å³ per atom



No. 5
A plane-wave DFT calculation with PBE was carried out for crystalline HfO at its relaxed geometry.

a = 3.4785 Å, b = 3.4785 Å, c = 3.4785 Å
α = 60.00°, β = 60.00°, γ = 60.00°
With the nearest neighbours (Å) after each atom.
Fractional positions:
O  0.2500  0.2500  0.2500  4 Hf 2.13
Hf  0.0000  0.0000  0.0000  4 O 2.13

## Properties
**Volume**: 14.9 Å³ per atom



No. 6
A plane-wave DFT calculation with PBE was carried out for crystalline Hf2O5 at its relaxed geometry.

a = 6.2392 Å, b = 6.1087 Å, c = 3.1899 Å
α = 88.18°, β = 115.43°, γ = 127.19°
With the nearest neighbours (Å) after each atom.
Fractional positions:
Hf  0.9451  0.1974  0.1295  7 O 2.05-2.25
Hf  0.1151  0.8411  0.8497  6 O 2.00-2.22
O  0.4768  0.0652  0.6375  1 O 1.51
O  0.2067  0.2335  0.8601  3 Hf 2.05-2.12
O  0.5125  0.8759  0.4345  1 O 1.51
O  0.9674  0.4517  0.5977  2 Hf 2.00-2.09
O  0.8604  0.7959  0.1262  3 Hf 2.01-2.17

## Properties
**Volume**: 11.9 Å³ per atom



No. 7
A plane-wave DFT calculation with PBE was carried out for crystalline HfO3 at its relaxed geometry.

a = 6.5790 Å, b = 6.0779 Å, c = 6.1621 Å
α = 107.04°, β = 81.54°, γ = 131.98°
With the nearest neighbours (Å) after each atom.
Fractional positions:
O  0.8855  0.4939  0.0730  1 O 1.47
O  0.9258  0.5747  0.6980  1 O 1.47
O  0.0012  0.5607  0.2933  1 O 1.47
O  0.5330  0.9678  0.6919  1 O 1.47
O  0.4047  0.0951  0.8019  1 O 1.47
O  0.1304  0.3624  0.5722  3 Hf 2.06-2.14
O  0.5848  0.8760  0.1030  3 Hf 2.03-2.10
O  0.7969  0.7014  0.8079  1 O 1.47
O  0.2001  0.3074  0.9281  3 Hf 2.06-2.13
O  0.3293  0.1083  0.2061  1 O 1.47
O  0.7459  0.7938  0.3971  3 Hf 2.03-2.10
O  0.4442  0.1748  0.4266  1 O 1.47
Hf  0.5683  0.5126  0.0807  7 O 2.03-2.21
Hf  0.2430  0.6677  0.9045  6 O 2.06-2.25
Hf  0.0878  0.0027  0.5961  6 O 2.06-2.25
Hf  0.7623  0.1572  0.4195  7 O 2.03-2.21

## Properties
**Relative energy among the computed polymorphs**: 0.0 meV per atom
**Volume**: 10.9 Å³ per atom



No. 8
A plane-wave DFT calculation with PBE was carried out for crystalline Hf5O at its relaxed geometry.

a = 5.6373 Å, b = 5.6373 Å, c = 5.1496 Å
α = 90.00°, β = 90.00°, γ = 120.00°
With the nearest neighbours (Å) after each atom.
Fractional positions:
Hf  0.0000  0.5000  0.5000  8 Hf 2.82-3.05
Hf  0.5000  0.5000  0.5000  8 Hf 2.82-3.05
Hf  0.5000  0.0000  0.5000  8 Hf 2.82-3.05
Hf  0.6667  0.3333  0.0000  9 Hf 3.05-3.25, 3 O 3.25
Hf  0.3333  0.6667  0.0000  9 Hf 3.05-3.25, 3 O 3.25
O  0.0000  0.0000  0.0000  6 Hf 3.25

## Properties
**Volume**: 23.6 Å³ per atom



The records above give, respectively, total magnetic moment values of 2.565; 3.023; 5.181; 0.000; 0.002; 0.000; 0.001; 0.114 μB/f.u..
The records above give, respectively, final energy values of -10.404; -11.203; -7.330; -9.921; -9.634; -9.085; -8.571; -8.026 eV per atom.